(1)
The following is a DFT calculation (GGA-PBE) of a relaxed structure of MnNiOs.

abc: 3.911 3.911 3.911
angles: 60.00 60.00 60.00
Atoms (fractional coordinates):
Mn  0.000  0.000  0.000
Ni  0.250  0.250  0.250
Os  0.750  0.750  0.750

## Properties
Energy above the most stable polymorph in this dataset in meV/atom: 423.5
Energy relative to the elements in eV per atom: 0.475

---

(2)
The following is a DFT calculation (GGA-PBE) of a relaxed structure of Er3As2IrRh9.

abc: 6.304 6.304 8.840
angles: 90.00 90.00 120.00
Atoms (fractional coordinates):
Er  0.000  0.000  0.000
Er  0.333  0.667  0.730
Er  0.667  0.333  0.270
As  0.333  0.667  0.179
As  0.667  0.333  0.821
Ir  0.000  0.000  0.500
Rh  0.000  0.500  0.000
Rh  0.140  0.280  0.271
Rh  0.140  0.860  0.271
Rh  0.280  0.140  0.729
Rh  0.500  0.000  0.000
Rh  0.500  0.500  0.000
Rh  0.720  0.860  0.271
Rh  0.860  0.140  0.729
Rh  0.860  0.720  0.729

## Properties
Energy relative to the elements in eV per atom: -0.259

---

(3)
The following is a DFT calculation (GGA-PBE) of a relaxed structure of Sr4Pb5.

abc: 8.285 8.285 8.285
angles: 95.79 95.79 142.95
Atoms (fractional coordinates):
Sr  0.000  0.300  0.300
Sr  0.000  0.700  0.700
Sr  0.300  0.000  0.300
Sr  0.700  0.000  0.700
Pb  0.000  0.000  0.000
Pb  0.340  0.340  0.680
Pb  0.340  0.660  0.000
Pb  0.660  0.340  0.000
Pb  0.660  0.660  0.320

## Properties
Energy above the most stable polymorph in this dataset in meV/atom: 49.8
Energy relative to the elements in eV per atom: -0.342

---

(4)
The following is a DFT calculation (GGA-PBE) of a relaxed structure of PrMg2PaN4.

abc: 5.655 3.522 6.135
angles: 90.00 111.33 90.00
Atoms (fractional coordinates):
Pr  0.000  0.000  0.000
Mg  0.500  0.000  0.500
Mg  0.500  0.500  0.000
Pa  0.000  0.500  0.500
N  0.240  0.500  0.279
N  0.247  0.000  0.735
N  0.753  0.000  0.265
N  0.760  0.500  0.721

## Properties
Formation energy (no corrections) in eV per atom: -1.13

---

(5)
The following is a DFT calculation (GGA-PBE) of a relaxed structure of CaGaPd3.

abc: 4.715 4.715 4.715
angles: 90.00 90.00 90.00
Atoms (fractional coordinates):
Ca  0.000  0.000  0.000
Ga  0.500  0.500  0.500
Pd  0.000  0.500  0.500
Pd  0.500  0.000  0.500
Pd  0.500  0.500  0.000

## Properties
Energy relative to the elements in eV per atom: -0.391

---

(6)
The following is a DFT calculation (GGA-PBE) of a relaxed structure of Th2ZrFe9.

abc: 8.830 8.830 8.830
angles: 33.10 33.10 33.10
Atoms (fractional coordinates):
Th  0.140  0.140  0.140
Th  0.860  0.860  0.860
Zr  0.000  0.000  0.000
Fe  0.081  0.578  0.578
Fe  0.333  0.333  0.333
Fe  0.422  0.422  0.919
Fe  0.422  0.919  0.422
Fe  0.500  0.500  0.500
Fe  0.578  0.081  0.578
Fe  0.578  0.578  0.081
Fe  0.667  0.667  0.667
Fe  0.919  0.422  0.422

## Properties
Energy relative to the elements in eV per atom: -0.055

---

(7)
The following is a DFT calculation (GGA-PBE) of a relaxed structure of LiInAg2.

abc: 5.253 5.253 4.860
angles: 106.25 106.25 35.35
Atoms (fractional coordinates):
Li  0.000  0.000  0.000
In  0.240  0.240  0.689
Ag  0.490  0.490  0.492
Ag  0.746  0.746  0.188

## Properties
Energy relative to the elements in eV per atom: -0.164

---

(8)
The following is a DFT calculation (GGA-PBE) of a relaxed structure of Pm2Er3Al4.

abc: 10.159 10.159 7.722
angles: 90.00 90.00 144.04
Atoms (fractional coordinates):
Pm  0.089  0.911  0.898
Pm  0.411  0.589  0.398
Pm  0.589  0.411  0.602
Pm  0.911  0.089  0.102
Er  0.000  0.000  0.500
Er  0.001  0.499  0.750
Er  0.499  0.001  0.250
Er  0.500  0.500  0.000
Er  0.501  0.999  0.750
Er  0.999  0.501  0.250
Al  0.153  0.847  0.507
Al  0.164  0.336  0.750
Al  0.336  0.164  0.250
Al  0.347  0.653  0.007
Al  0.653  0.347  0.993
Al  0.664  0.836  0.750
Al  0.836  0.664  0.250
Al  0.847  0.153  0.493

## Properties
Energy relative to the elements in eV per atom: -0.212

---

(9)
The following is a DFT calculation (GGA-PBE) of a relaxed structure of Ba2CaTl2.

abc: 10.134 10.134 3.961
angles: 90.00 90.00 90.00
Atoms (fractional coordinates):
Ba  0.138  0.362  0.000
Ba  0.362  0.862  0.000
Ba  0.638  0.138  0.000
Ba  0.862  0.638  0.000
Ca  0.000  0.000  0.000
Ca  0.500  0.500  0.000
Tl  0.160  0.660  0.500
Tl  0.340  0.160  0.500
Tl  0.660  0.840  0.500
Tl  0.840  0.340  0.500

## Properties
Energy above the most stable polymorph in this dataset in meV/atom: 125.3
Energy relative to the elements in eV per atom: -0.195

---

(10)
The following is a DFT calculation (GGA-PBE) of a relaxed structure of Sc2Pa.

abc: 7.569 7.569 7.569
angles: 155.68 155.68 34.67
Atoms (fractional coordinates):
Sc  0.164  0.164  0.000
Sc  0.836  0.836  0.000
Pa  0.500  0.500  0.000

## Properties
Energy above the most stable polymorph in this dataset in meV/atom: 92.9
Energy relative to the elements in eV per atom: 0.094

---

(11)
The following is a DFT calculation (GGA-PBE) of a relaxed structure of Cd2SbBr.

abc: 5.282 5.282 5.282
angles: 60.00 60.00 60.00
Atoms (fractional coordinates):
Cd  0.000  0.000  0.000
Cd  0.250  0.250  0.250
Sb  0.750  0.750  0.750
Br  0.500  0.500  0.500

## Properties
Energy above the most stable polymorph in this dataset in meV/atom: 473.5
Formation energy (no corrections) in eV per atom: 0.15

---

(12)
The following is a DFT calculation (GGA-PBE) of a relaxed structure of NbCuPb2S5.

abc: 8.817 8.817 12.505
angles: 90.00 90.00 155.72
Atoms (fractional coordinates):
Nb  0.193  0.807  0.500
Nb  0.807  0.193  0.000
Cu  0.422  0.578  0.921
Cu  0.578  0.422  0.421
Pb  0.112  0.888  0.800
Pb  0.116  0.884  0.147
Pb  0.884  0.116  0.647
Pb  0.888  0.112  0.300
S  0.057  0.943  0.527
S  0.287  0.713  0.137
S  0.297  0.703  0.864
S  0.347  0.653  0.488
S  0.496  0.504  0.769
S  0.504  0.496  0.269
S  0.653  0.347  0.988
S  0.703  0.297  0.364
S  0.713  0.287  0.637
S  0.943  0.057  0.027

## Properties
Formation energy (no corrections) in eV per atom: -0.59

---

no.,E_tot (eV/atom),density (Mg/m³)
1,-8.252,11.93
2,-6.794,9.66
3,-3.149,7.09
4,-7.474,6.95
5,-4.513,6.80
6,-8.351,9.61
7,-2.752,7.55
8,-4.452,6.39
9,-2.311,5.91
10,-7.293,7.25
11,-1.759,6.80
12,-5.276,6.08